CsTl2MoF6 | PBE+U | optimized geometry

Structure (POSCAR):
```
CsTl2MoF6
1.0
6.397 0.000 0.000
0.000 7.220 0.000
-6.307 0.000 9.496
Cs Tl Mo F
2 4 2 12
direct
0.000 0.000 0.000
0.000 0.500 0.500
0.222 0.033 0.730
0.222 0.467 0.230
0.778 0.533 0.770
0.778 0.967 0.270
0.500 0.000 0.500
0.500 0.500 0.000
0.198 0.142 0.486
0.198 0.358 0.986
0.248 0.724 0.900
0.248 0.776 0.400
0.407 0.101 0.302
0.407 0.399 0.802
0.593 0.601 0.198
0.593 0.899 0.698
0.752 0.224 0.600
0.752 0.276 0.100
0.802 0.642 0.014
0.802 0.858 0.514
```

The value obtained for the electronic total energy is -47.45 eV per formula unit. Its crystal system is monoclinic. For the spin magnetization, the calculation gives 3.00 μB per formula unit. The value obtained for the density of states at the Fermi level is 0.00 states/eV/cell. As for the theoretical density: 5.69 g/cm³.